PBE TmScTlCd, relaxed; density = 9.1 Mg/m³; uncorrected energy = -15.243 eV/cell; M_tot = 0.5 μB/f.u.; calculated formation energy = -290 meV per atom
1.0
-5.013 -0.947 0.742
-1.618 -4.827 0.814
-1.696 -1.398 4.664
Tl Cd Sc Tm
1 1 1 1
Direct
0.250 0.250 0.250 Tl
0.750 0.750 0.750 Cd
0.000 0.000 0.000 Sc
0.500 0.500 0.500 Tm